Record 1
# BaGe2O, optimized geometry, DFT PBE
# - Total magnetization: 0.00 μB per formula unit
# - Formation energy (no corrections): -509 meV/atom
# - Total energy: -4.538 eV per atom
data_BaGe2O
_symmetry_space_group_name_H-M 'I 41/a m d'
_symmetry_Int_Tables_number 141
_cell_length_a 4.962
_cell_length_b 4.962
_cell_length_c 16.308
_cell_angle_alpha 90.00
_cell_angle_beta 90.00
_cell_angle_gamma 90.00
loop_
_symmetry_equiv_pos_as_xyz
'x,y,z'
'-x,-y,-z'
'-y+1/4,x+3/4,z+1/4'
'y+1/4,-x+3/4,-z+1/4'
'-x+1/2,-y,z+1/2'
'x+1/2,y,-z+1/2'
'y+1/4,-x+1/4,z+3/4'
'-y+1/4,x+1/4,-z+3/4'
'x,-y,-z'
'-x,y,z'
'-y+1/4,-x+1/4,-z+3/4'
'y+1/4,x+1/4,z+3/4'
'-x+1/2,y,-z+1/2'
'x+1/2,-y,z+1/2'
'y+1/4,x+3/4,-z+1/4'
'-y+1/4,-x+3/4,z+1/4'
'x+1/2,y+1/2,z+1/2'
'-x+1/2,-y+1/2,-z+1/2'
'-y+3/4,x+1/4,z+3/4'
'y+3/4,-x+1/4,-z+3/4'
'-x,-y+1/2,z'
'x,y+1/2,-z'
'y+3/4,-x+3/4,z+1/4'
'-y+3/4,x+3/4,-z+1/4'
'x+1/2,-y+1/2,-z+1/2'
'-x+1/2,y+1/2,z+1/2'
'-y+3/4,-x+3/4,-z+1/4'
'y+3/4,x+3/4,z+1/4'
'-x,y+1/2,-z'
'x,-y+1/2,z'
'y+3/4,x+1/4,-z+3/4'
'-y+3/4,-x+1/4,z+3/4'
loop_
_atom_site_label
_atom_site_fract_x
_atom_site_fract_y
_atom_site_fract_z
Ba1 0.000 0.250 0.375
Ge1 0.000 0.000 0.000
O1 0.000 0.250 0.875

=====

Record 2
# TcO2F, optimized geometry, DFT PBE
# - Total magnetization: 0.21 μB per formula unit
# - Formation energy (no corrections): -944 meV/atom
# - Total energy: -6.483 eV per atom
# - Offset from the most stable computed form: 698 meV per atom
data_TcO2F
_symmetry_space_group_name_H-M 'I -4 2 d'
_symmetry_Int_Tables_number 122
_symmetry_space_group_name_Hall 'I -4 2bw'
_cell_length_a 5.713
_cell_length_b 5.713
_cell_length_c 8.422
_cell_angle_alpha 90.00
_cell_angle_beta 90.00
_cell_angle_gamma 90.00
loop_
_atom_site_label
_atom_site_fract_x
_atom_site_fract_y
_atom_site_fract_z
Tc1 0.000 0.000 0.000
O1 0.070 0.250 0.125
F1 0.000 0.000 0.500

=====

Q: Number 2 is which compound?
A: TcO2F

=====

Q: Which value of total energy does entry 2 give?
A: -6.483 eV per atom